Entry from Alexandria via LeMat-Bulk: crystalline MnBrF2 at its relaxed geometry (PBE+U).

Structure (extended XYZ):
```
16
Lattice="6.655 0.000 0.000 0.000 6.655 0.000 0.000 0.000 8.553" Properties=species:S:1:pos:R:3 pbc="T T T"
Mn 0.000 0.000 0.000
Mn 0.000 3.327 2.138
Mn 3.327 0.000 6.415
Mn 3.327 3.327 4.277
Br 0.000 0.000 4.277
Br 0.000 3.327 6.415
Br 3.327 0.000 2.138
Br 3.327 3.327 0.000
F 0.065 1.664 1.069
F 1.664 3.393 3.208
F 1.664 6.589 7.484
F 3.262 1.664 5.346
F 3.393 4.991 5.346
F 4.991 0.065 7.484
F 4.991 3.262 3.208
F 6.589 4.991 1.069
```

Summary:
The space group is No. 122. The value obtained for the total magnetization is 5.69 μB/f.u. The total energy is -4.866 eV per atom. The value obtained for the energy above the most stable polymorph in this dataset is 156 meV/atom. For the calculated volume, the calculation gives 23.7 Å³ per atom.